Entry 1:
# TeIrRh2 (PBE-GGA, relaxed)
# * VASP energy: -0.2380 Ha/atom
# * DOS at the Fermi energy: 2.86 states/eV/f.u.
data_TeIrRh2
_chemical_formula_sum 'Te2 Ir2 Rh4'
_cell_length_a 8.7206
_cell_length_b 3.4645
_cell_length_c 4.4952
_cell_angle_alpha 90.00
_cell_angle_beta 102.34
_cell_angle_gamma 90.00
_symmetry_space_group_name_H-M 'C 1 2/m 1'
_symmetry_Int_Tables_number 12
_symmetry_space_group_name_Hall '-C 2y'
loop_
_atom_site_label
_atom_site_type_symbol
_atom_site_fract_x
_atom_site_fract_y
_atom_site_fract_z
Te1 Te 0.0000 0.0000 0.0000
Ir1 Ir 0.0000 0.5000 0.5000
Rh1 Rh 0.2405 0.0000 0.7292

Entry 2:
# DyFe2Cl8 (PBE-GGA, relaxed)
# * VASP energy: -0.1672 Ha/atom
# * DOS at the Fermi energy: 5.23 states/eV/f.u.
data_DyFe2Cl8
_chemical_formula_sum 'Dy2 Fe4 Cl16'
_cell_length_a 7.0667
_cell_length_b 11.6760
_cell_length_c 9.6310
_cell_angle_alpha 90.00
_cell_angle_beta 94.72
_cell_angle_gamma 90.00
_symmetry_space_group_name_H-M 'C 1 2/m 1'
_symmetry_Int_Tables_number 12
_symmetry_space_group_name_Hall '-C 2y'
loop_
_atom_site_label
_atom_site_type_symbol
_atom_site_fract_x
_atom_site_fract_y
_atom_site_fract_z
Dy1 Dy 0.0000 0.0000 0.0000
Fe1 Fe 0.0162 0.0000 0.3245
Cl1 Cl 0.1108 0.1502 0.8113
Cl2 Cl 0.2038 0.5000 0.8187
Cl3 Cl 0.2308 0.0000 0.5196

Repeat the first record exactly.
# TeIrRh2 (PBE-GGA, relaxed)
# * VASP energy: -0.2380 Ha/atom
# * DOS at the Fermi energy: 2.86 states/eV/f.u.
data_TeIrRh2
_chemical_formula_sum 'Te2 Ir2 Rh4'
_cell_length_a 8.7206
_cell_length_b 3.4645
_cell_length_c 4.4952
_cell_angle_alpha 90.00
_cell_angle_beta 102.34
_cell_angle_gamma 90.00
_symmetry_space_group_name_H-M 'C 1 2/m 1'
_symmetry_Int_Tables_number 12
_symmetry_space_group_name_Hall '-C 2y'
loop_
_atom_site_label
_atom_site_type_symbol
_atom_site_fract_x
_atom_site_fract_y
_atom_site_fract_z
Te1 Te 0.0000 0.0000 0.0000
Ir1 Ir 0.0000 0.5000 0.5000
Rh1 Rh 0.2405 0.0000 0.7292

Please write out number 1 again, unchanged.
# TeIrRh2 (PBE-GGA, relaxed)
# * VASP energy: -0.2380 Ha/atom
# * DOS at the Fermi energy: 2.86 states/eV/f.u.
data_TeIrRh2
_chemical_formula_sum 'Te2 Ir2 Rh4'
_cell_length_a 8.7206
_cell_length_b 3.4645
_cell_length_c 4.4952
_cell_angle_alpha 90.00
_cell_angle_beta 102.34
_cell_angle_gamma 90.00
_symmetry_space_group_name_H-M 'C 1 2/m 1'
_symmetry_Int_Tables_number 12
_symmetry_space_group_name_Hall '-C 2y'
loop_
_atom_site_label
_atom_site_type_symbol
_atom_site_fract_x
_atom_site_fract_y
_atom_site_fract_z
Te1 Te 0.0000 0.0000 0.0000
Ir1 Ir 0.0000 0.5000 0.5000
Rh1 Rh 0.2405 0.0000 0.7292